{"formula": "PaTiPdAu", "functional": "PBE-GGA", "state": "relaxed", "final_energy_ev_per_atom": -6.7264, "volume_a3_per_cell": 81, "total_magnetization_mub_per_cell": 2.63, "formation_energy_ev_per_atom": -0.26, "lattice_angstrom": [[-4.600, -0.612, 1.452], [-2.685, -3.591, -1.880], [-1.195, -3.834, 2.742]], "species": ["Pd", "Au", "Ti", "Pa"], "frac_coords": [[0.500, 0.500, 0.500], [0.000, 0.000, 0.000], [0.250, 0.250, 0.250], [0.750, 0.750, 0.750]]}

***

{"formula": "Pm2MnCo2", "functional": "PBE-GGA", "state": "relaxed", "final_energy_ev_per_atom": -6.6115, "de_polymorph_ev_per_atom": 0.0037, "volume_a3_per_cell": 193, "total_magnetization_mub_per_cell": 8.24, "formation_energy_ev_per_atom": -0.03, "lattice_angstrom": [[5.520, 0.000, 0.000], [-2.760, 4.756, 0.133], [0.000, -1.959, 7.301]], "species": ["Co", "Co", "Co", "Co", "Mn", "Mn", "Pm", "Pm", "Pm", "Pm"], "frac_coords": [[0.000, 0.729, 0.996], [0.729, 0.729, 0.496], [0.271, 0.271, 0.504], [0.000, 0.271, 0.004], [0.111, 0.000, 0.750], [0.889, 0.000, 0.250], [0.219, 0.704, 0.352], [0.485, 0.704, 0.852], [0.515, 0.296, 0.148], [0.781, 0.296, 0.648]]}